# GGA-PBE Cd3Hg3Pb, relaxed
data_Cd3Hg3Pb
_symmetry_space_group_name_H-M 'P -1'
_symmetry_Int_Tables_number 2
_cell_length_a 7.054
_cell_length_b 7.218
_cell_length_c 7.466
_cell_angle_alpha 87.86
_cell_angle_beta 75.43
_cell_angle_gamma 88.46
loop_
_symmetry_equiv_pos_as_xyz
'x,y,z'
'-x,-y,-z'
loop_
_atom_site_label
_atom_site_type_symbol
_atom_site_fract_x
_atom_site_fract_y
_atom_site_fract_z
Cd1 Cd 0.001 0.209 0.409
Cd2 Cd 0.348 0.528 0.394
Cd3 Cd 0.351 0.141 0.594
Hg1 Hg 0.010 0.390 0.783
Hg2 Hg 0.280 0.776 0.825
Hg3 Hg 0.298 0.932 0.220
Pb1 Pb 0.338 0.324 0.006
# - DFT total energy: -1.01 eV/atom
# - ΔH_f (0 K): 0.3 eV per formula unit
# - Energy relative to the lowest polymorph listed for this composition: 0.00 eV per formula unit

***

# GGA-PBE Cd15Hg2Pb2, relaxed
data_Cd15Hg2Pb2
_symmetry_space_group_name_H-M 'R -3 m'
_symmetry_Int_Tables_number 166
_symmetry_space_group_name_Hall '-R 3 2"'
_cell_length_a 10.2785
_cell_length_b 10.2785
_cell_length_c 15.3984
_cell_angle_alpha 90.00
_cell_angle_beta 90.00
_cell_angle_gamma 120.00
loop_
_atom_site_label
_atom_site_type_symbol
_atom_site_fract_x
_atom_site_fract_y
_atom_site_fract_z
Cd1 Cd 0.0000 0.3032 0.0000
Cd2 Cd 0.0000 0.5000 0.5000
Cd3 Cd 0.0015 0.5007 0.1485
Hg1 Hg 0.0000 0.0000 0.1048
Pb1 Pb 0.0000 0.0000 0.3854
# - DFT total energy: -1.10 eV/atom
# - ΔH_f (0 K): 0.8 eV per formula unit

***

# GGA-PBE CdHg7Pb2, relaxed
data_CdHg7Pb2
_symmetry_space_group_name_H-M 'P -1'
_symmetry_Int_Tables_number 2
_cell_length_a 3.254
_cell_length_b 6.093
_cell_length_c 14.328
_cell_angle_alpha 95.04
_cell_angle_beta 91.17
_cell_angle_gamma 95.20
loop_
_symmetry_equiv_pos_as_xyz
'x,y,z'
'-x,-y,-z'
loop_
_atom_site_label
_atom_site_type_symbol
_atom_site_fract_x
_atom_site_fract_y
_atom_site_fract_z
Cd1 Cd 0.000 0.000 0.000
Hg1 Hg 0.058 0.382 0.400
Hg2 Hg 0.479 0.476 0.212
Hg3 Hg 0.483 0.975 0.185
Hg4 Hg 0.500 0.500 0.000
Pb1 Pb 0.286 0.117 0.604
# - DFT total energy: -1.01 eV/atom
# - ΔH_f (0 K): 0.3 eV per formula unit

***

# GGA-PBE Cd2Hg5Pb, relaxed
data_Cd2Hg5Pb
_symmetry_space_group_name_H-M 'I 4/m c m'
_symmetry_Int_Tables_number 140
_symmetry_space_group_name_Hall '-I 4 2c'
_cell_length_a 7.933
_cell_length_b 7.933
_cell_length_c 13.364
_cell_angle_alpha 90.00
_cell_angle_beta 90.00
_cell_angle_gamma 90.00
loop_
_atom_site_label
_atom_site_type_symbol
_atom_site_fract_x
_atom_site_fract_y
_atom_site_fract_z
Cd1 Cd 0.145 0.355 0.000
Hg1 Hg 0.000 0.000 0.000
Hg2 Hg 0.150 0.350 0.341
Pb1 Pb 0.000 0.000 0.250
# - DFT total energy: -0.84 eV/atom
# - ΔH_f (0 K): 0.3 eV per formula unit

***

# GGA-PBE Cd8Hg3Pb2, relaxed
data_Cd8Hg3Pb2
_symmetry_space_group_name_H-M 'C 1 2/m 1'
_symmetry_Int_Tables_number 12
_cell_length_a 14.691
_cell_length_b 7.741
_cell_length_c 5.986
_cell_angle_alpha 90.00
_cell_angle_beta 92.75
_cell_angle_gamma 90.00
loop_
_symmetry_equiv_pos_as_xyz
'x,y,z'
'-x,-y,-z'
'-x,y,-z'
'x,-y,z'
'x+1/2,y+1/2,z'
'-x+1/2,-y+1/2,-z'
'-x+1/2,y+1/2,-z'
'x+1/2,-y+1/2,z'
loop_
_atom_site_label
_atom_site_type_symbol
_atom_site_fract_x
_atom_site_fract_y
_atom_site_fract_z
Cd1 Cd 0.150 0.000 0.196
Cd2 Cd 0.164 0.500 0.984
Cd3 Cd 0.191 0.186 0.701
Hg1 Hg 0.000 0.000 0.500
Hg2 Hg 0.000 0.244 0.000
Pb1 Pb 0.106 0.500 0.461
# - DFT total energy: -1.15 eV/atom
# - ΔH_f (0 K): 0.7 eV per formula unit

***

# GGA-PBE Cd3Hg6Pb2, relaxed
data_Cd3Hg6Pb2
_symmetry_space_group_name_H-M 'R -3 m'
_symmetry_Int_Tables_number 166
_symmetry_space_group_name_Hall '-R 3 2"'
_cell_length_a 3.6043
_cell_length_b 3.6043
_cell_length_c 77.6727
_cell_angle_alpha 90.00
_cell_angle_beta 90.00
_cell_angle_gamma 120.00
loop_
_atom_site_label
_atom_site_type_symbol
_atom_site_fract_x
_atom_site_fract_y
_atom_site_fract_z
Cd1 Cd 0.0000 0.0000 0.0000
Cd2 Cd 0.0000 0.0000 0.2759
Hg1 Hg 0.0000 0.0000 0.0861
Hg2 Hg 0.0000 0.0000 0.1815
Hg3 Hg 0.0000 0.0000 0.3621
Pb1 Pb 0.0000 0.0000 0.4520
# - DFT total energy: -1.06 eV/atom
# - ΔH_f (0 K): 0.3 eV per formula unit
# - Energy relative to the lowest polymorph listed for this composition: 0.00 eV per formula unit

***

# GGA-PBE CdHgPb2, relaxed
data_CdHgPb2
_symmetry_space_group_name_H-M 'R -3 m'
_symmetry_Int_Tables_number 166
_symmetry_space_group_name_Hall '-R 3 2"'
_cell_length_a 3.3183
_cell_length_b 3.3183
_cell_length_c 36.1875
_cell_angle_alpha 90.00
_cell_angle_beta 90.00
_cell_angle_gamma 120.00
loop_
_atom_site_label
_atom_site_type_symbol
_atom_site_fract_x
_atom_site_fract_y
_atom_site_fract_z
Cd1 Cd 0.0000 0.0000 0.0000
Hg1 Hg 0.0000 0.0000 0.5000
Pb1 Pb 0.0000 0.0000 0.2536
# - DFT total energy: -2.13 eV/atom
# - ΔH_f (0 K): 0.1 eV per formula unit
# - Energy relative to the lowest polymorph listed for this composition: 0.02 eV per formula unit

***

# GGA-PBE Cd3Hg10Pb, relaxed
data_Cd3Hg10Pb
_symmetry_space_group_name_H-M 'F m -3 m'
_symmetry_Int_Tables_number 225
_symmetry_space_group_name_Hall '-F 4 2 3'
_cell_length_a 14.764
_cell_length_b 14.764
_cell_length_c 14.764
_cell_angle_alpha 90.00
_cell_angle_beta 90.00
_cell_angle_gamma 90.00
loop_
_atom_site_label
_atom_site_type_symbol
_atom_site_fract_x
_atom_site_fract_y
_atom_site_fract_z
Cd1 Cd 0.000 0.000 0.214
Hg1 Hg 0.000 0.170 0.330
Hg2 Hg 0.132 0.132 0.132
Pb1 Pb 0.250 0.250 0.250
# - DFT total energy: -0.63 eV/atom
# - ΔH_f (0 K): 0.7 eV per formula unit

***

The highest DFT total energy belongs to which entry?
Cd3Hg10Pb

***

What is the DFT total energy in the second record?
-1.10 eV/atom